Entry from the Alexandria database: a relaxed structure of MgSbIr (GGA-PBE).

a = 4.5319 Å, b = 4.5319 Å, c = 3.2318 Å
α = 90.00°, β = 90.00°, γ = 120.00°
Fractional positions:
Sb: 0.3333 0.6667 0.8335
Ir: 0.0000 0.0000 0.8333
Mg: 0.6667 0.3333 0.3332

Summary:
**E_form (uncorrected)**: -157 meV/atom
**E**: -5.016 eV per atom